No. 1
Entry from Alexandria via LeMat-Bulk: Cr2GaSb after structural relaxation (PBE).

Calculated values
Mass density = 7.940 g/cm³
Energy relative to the elements, uncorrected = 1.28 eV per formula unit
Space-group type = No. 225
Magnetic moment = 3.88 μB per formula unit

abc: 4.438 4.438 4.438
angles: 60.00 60.00 60.00
Atoms (fractional coordinates):
Cr 0.250 0.250 0.250
Cr 0.750 0.750 0.750
Ga 0.000 0.000 0.000
Sb 0.500 0.500 0.500



No. 2
Entry from Alexandria via LeMat-Bulk: ErThCuPt after structural relaxation (PBE).

Calculated values
Mass density = 11.986 g/cm³
ΔE_f = -739 meV per atom
Space-group type = No. 38
Magnetic moment = 0.00 μB per formula unit

abc: 4.523 5.631 5.631
angles: 39.46 90.00 90.00
Atoms (fractional coordinates):
Er 0.000 0.000 0.000
Th 0.500 0.279 0.279
Cu 0.000 0.720 0.720
Pt 0.500 0.559 0.559



No. 3
Entry from Alexandria via LeMat-Bulk: TmSc8Al2 after structural relaxation (PBE).

Calculated values
Mass density = 3.703 g/cm³
ΔE_f = 2 meV per atom
Space-group type = No. 12
Magnetic moment = 0.00 μB per formula unit

abc: 8.106 8.106 5.219
angles: 104.13 104.13 119.47
Atoms (fractional coordinates):
Tm 0.000 0.000 0.000
Sc 0.093 0.333 0.642
Sc 0.216 0.784 0.000
Sc 0.333 0.093 0.642
Sc 0.420 0.420 0.209
Sc 0.580 0.580 0.791
Sc 0.667 0.907 0.358
Sc 0.784 0.216 0.000
Sc 0.907 0.667 0.358
Al 0.309 0.691 0.500
Al 0.691 0.309 0.500



No. 4
Entry from Alexandria via LeMat-Bulk: K2PuCd2O6 after structural relaxation (PBE).

Calculated values
Mass density = 5.673 g/cm³
Energy relative to the elements, uncorrected = -19.37 eV per formula unit
Space-group type = No. 12
Magnetic moment = 2.00 μB per formula unit

abc: 5.795 5.795 6.738
angles: 99.92 99.92 118.02
Atoms (fractional coordinates):
K 0.177 0.823 0.000
K 0.823 0.177 0.000
Pu 0.000 0.000 0.500
Cd 0.337 0.663 0.500
Cd 0.663 0.337 0.500
O 0.057 0.361 0.688
O 0.229 0.229 0.316
O 0.361 0.057 0.688
O 0.639 0.943 0.312
O 0.771 0.771 0.684
O 0.943 0.639 0.312



No. 5
Entry from Alexandria via LeMat-Bulk: CaErHg2 after structural relaxation (PBE).

Calculated values
Mass density = 9.766 g/cm³
ΔE_f = -532 meV per atom
Space-group type = No. 123
Magnetic moment = 0.00 μB per formula unit

abc: 5.277 5.277 3.716
angles: 90.00 90.00 90.00
Atoms (fractional coordinates):
Ca 0.000 0.000 0.000
Er 0.500 0.500 0.000
Hg 0.000 0.500 0.500
Hg 0.500 0.000 0.500



No. 6
Entry from Alexandria via LeMat-Bulk: NaLiAsS2 after structural relaxation (PBE).

Calculated values
Mass density = 2.659 g/cm³
Energy relative to the elements, uncorrected = -2.51 eV per formula unit
Space-group type = No. 67
Magnetic moment = 0.00 μB per formula unit

abc: 6.945 6.945 6.313
angles: 90.00 90.00 136.11
Atoms (fractional coordinates):
Na 0.250 0.750 0.795
Na 0.750 0.250 0.205
Li 0.250 0.250 0.000
Li 0.750 0.750 0.000
As 0.000 0.000 0.500
As 0.500 0.500 0.500
S 0.124 0.876 0.213
S 0.376 0.624 0.213
S 0.624 0.376 0.787
S 0.876 0.124 0.787